Density functional theory data (PBE-GGA) for a relaxed Er2TmHf3N6 crystal.

a b c (Å): 3.286 6.618 7.402
angles (deg): 103.58 102.83 90.00
Element x y z (fractional)
Er (0.167, 0.333, 0.333)
Er (0.833, 0.667, 0.667)
Hf (0.167, 0.833, 0.333)
Hf (0.833, 0.167, 0.667)
Hf (0.500, 0.500, 0.000)
N (0.338, 0.405, 0.676)
N (0.671, 0.072, 0.341)
N (0.005, 0.740, 0.009)
N (0.995, 0.260, 0.991)
N (0.329, 0.928, 0.659)
N (0.662, 0.595, 0.324)
Tm (0.500, 0.000, 0.000)

Computed properties:
**Space group**: C2/m, No. 12
**DOS at the Fermi energy**: 2.71 states/eV/cell
**Electronic total energy**: -115.44 eV per cell